12
Lattice="2.793 -10.563 0.000 2.793 10.563 0.000 0.000 0.000 6.535" Properties=species:S:1:pos:R:3 comment="PBE-GGA TbY4Tl, relaxed" m_tot_mub_per_cell=0.0 formation_enthalpy_0k_ev_per_atom=0.021 relative_energy_mev_per_atom=114 pbc="T T T"
Tb 2.793 7.676 3.268
Tb 2.793 -7.676 0.000
Y 2.793 9.221 0.046
Y 2.793 5.188 0.842
Y 2.793 3.863 4.242
Y 2.793 0.846 5.439
Y 2.793 -0.846 2.172
Y 2.793 -3.863 0.975
Y 2.793 -5.188 4.110
Y 2.793 -9.221 3.313
Tl 2.793 2.160 1.704
Tl 2.793 -2.160 4.971

***

20
Lattice="4.993 0.000 0.000 0.000 4.993 0.000 0.000 0.000 25.348" Properties=species:S:1:pos:R:3 comment="PBE-GGA Tb4Y15Tl, relaxed" m_tot_mub_per_cell=0.1 formation_enthalpy_0k_ev_per_atom=-0.015 pbc="T T T"
Tb 0.000 0.000 2.560
Tb 0.000 0.000 7.648
Tb 0.000 0.000 17.700
Tb 0.000 0.000 22.788
Y 0.000 2.497 0.000
Y 0.000 2.497 5.111
Y 0.000 2.497 10.218
Y 0.000 2.497 15.130
Y 0.000 2.497 20.237
Y 2.497 0.000 0.000
Y 2.497 0.000 5.111
Y 2.497 0.000 10.218
Y 2.497 0.000 15.130
Y 2.497 0.000 20.237
Y 2.497 2.497 2.567
Y 2.497 2.497 7.724
Y 2.497 2.497 12.674
Y 2.497 2.497 17.625
Y 2.497 2.497 22.782
Tl 0.000 0.000 12.674

***

Record-wise raw total energy values, in eV per atom: -5.45; -5.91